Entry from Alexandria: a relaxed structure of AcTb2Eu (GGA-PBE).

For the total magnetization, the calculation gives 29.27 μB/cell. Its formation enthalpy at 0 K is 0.152 eV per atom.

The structure belongs to space group Fm-3m (No. 225); the cell edges are 8.409, 8.409 and 8.409 Å and the angles 90.00°, 90.00° and 90.00°. Symmetry generates all atoms from Ac at (0.000, 0.000, 0.000), Tb at (0.250, 0.250, 0.250) and Eu at (0.000, 0.000, 0.500).